{
  "formula": "TaHg2Sb",
  "functional": "PBE",
  "state": "relaxed",
  "lattice": [[-0.8867, 3.2218, 0.2439], [-1.1152, -0.6623, 4.6940], [5.0033, 1.2735, 1.3684]],
  "species": ["Hg", "Hg", "Sb", "Ta"],
  "frac_coords": [[0.5000, 0.5000, 0.0000], [0.0000, 0.0000, 0.0000], [0.5000, 0.0000, 0.5000], [0.0000, 0.5000, 0.5000]],
  "sg": "No. 47",
  "rho_kg_m3": 13412,
  "volume_a3_per_atom": 21.8,
  "raw_formation_energy_mev_per_atom": 494
}